(1)
Below is a geometry-optimized NdTcO4 structure, with properties calculated at the PBE level.

The space group is P2_1/c (No. 14) and the conventional cell measures 7.954, 5.603 and 7.710 Å, with angles of 90.00, 104.01 and 90.00 degrees. The inequivalent atoms are Nd at (0.112, 0.249, 0.403), Tc at (0.338, 0.750, 0.209), O at (0.138, 0.508, 0.160), O at (0.139, 0.508, 0.659), O at (0.326, 0.747, 0.957) and O at (0.500, 0.000, 0.248).

The calculation puts the calculated density at 6.10 g cm⁻³. Its uncorrected formation energy is -2.26 eV per atom.

(2)
Below is a geometry-optimized LiCu5Cl8 structure, with properties calculated at the PBE level.

The space group is F-43m (No. 216) and the conventional cell measures 10.288, 10.288 and 10.288 Å, with angles of 90.00, 90.00 and 90.00 degrees. The inequivalent atoms are Li at (0.000, 0.000, 0.000), Cu at (0.126, 0.126, 0.626), Cu at (0.250, 0.250, 0.250), Cl at (0.119, 0.119, 0.381) and Cl at (0.133, 0.133, 0.867).

The calculation puts the calculated density at 3.71 g cm⁻³. Its uncorrected formation energy is -0.63 eV per atom.

(3)
Below is a geometry-optimized Li2Mg4Cd structure, with properties calculated at the PBE level.

The space group is Imma (No. 74) and the conventional cell measures 5.742, 9.946 and 10.903 Å, with angles of 90.00, 90.00 and 90.00 degrees. The inequivalent atoms are Li at (0.000, 0.250, 0.229), Li at (0.250, 0.250, 0.750), Mg at (0.000, 0.005, 0.650), Mg at (0.240, 0.250, 0.491) and Cd at (0.000, 0.000, 0.000).

The calculation puts the calculated density at 2.38 g cm⁻³. Its formation energy is 47 meV/atom.

(4)
Below is a geometry-optimized AlFe2Ir structure, with properties calculated at the PBE level.

The space group is P2/m (No. 10) and the conventional cell measures 2.670, 3.780 and 5.143 Å, with angles of 90.00, 90.09 and 90.00 degrees. The inequivalent atoms are Al at (0.000, 0.000, 0.000), Fe at (0.500, 0.500, 0.245) and Ir at (0.000, 0.000, 0.500).

The calculation puts the calculated density at 10.59 g cm⁻³. Its formation energy is -225 meV/atom.

(5)
Below is a geometry-optimized GdNi2Hg structure, with properties calculated at the PBE level.

The space group is Fm-3m (No. 225) and the conventional cell measures 6.540, 6.540 and 6.540 Å, with angles of 90.00, 90.00 and 90.00 degrees. The inequivalent atoms are Gd at (0.000, 0.000, 0.000), Ni at (0.250, 0.250, 0.250) and Hg at (0.000, 0.000, 0.500).

The calculation puts the calculated density at 11.29 g cm⁻³. Its formation energy is -203 meV/atom.

(6)
Below is a geometry-optimized KRbPd structure, with properties calculated at the PBE level.

The space group is P2_1/m (No. 11) and the conventional cell measures 6.322, 4.824 and 9.490 Å, with angles of 90.00, 101.81 and 90.00 degrees. The inequivalent atoms are K at (0.150, 0.250, 0.145), Rb at (0.307, 0.250, 0.685) and Pd at (0.418, 0.750, 0.978).

The calculation puts the calculated density at 2.71 g cm⁻³. Its formation energy is 32 meV/atom.

(7)
Below is a geometry-optimized SmY3Tl3 structure, with properties calculated at the PBE level.

The space group is P2_13 (No. 198) and the conventional cell measures 9.395, 9.395 and 9.395 Å, with angles of 90.00, 90.00 and 90.00 degrees. The inequivalent atoms are Sm at (0.073, 0.427, 0.573), Y at (0.076, 0.576, 0.924), Y at (0.178, 0.822, 0.322), Y at (0.179, 0.179, 0.179) and Tl at (0.000, 0.253, 0.880).

The calculation puts the calculated density at 8.25 g cm⁻³. Its formation energy is -287 meV/atom.

(8)
Below is a geometry-optimized Tl2AuBr4 structure, with properties calculated at the PBE level.

The space group is C2/m (No. 12) and the conventional cell measures 14.260, 4.523 and 8.349 Å, with angles of 90.00, 117.95 and 90.00 degrees. The inequivalent atoms are Tl at (0.161, 0.000, 0.205), Au at (0.000, 0.500, 0.500), Br at (0.023, 0.500, 0.818) and Br at (0.157, 0.000, 0.596).

The calculation puts the calculated density at 6.46 g cm⁻³. Its uncorrected formation energy is -0.49 eV per atom.

(9)
Below is a geometry-optimized SrCuSe2 structure, with properties calculated at the PBE level.

The space group is I-4m2 (No. 119) and the conventional cell measures 4.117, 4.117 and 11.262 Å, with angles of 90.00, 90.00 and 90.00 degrees. The inequivalent atoms are Sr at (0.000, 0.000, 0.000), Cu at (0.000, 0.500, 0.750), Se at (0.000, 0.000, 0.500) and Se at (0.000, 0.500, 0.250).

The calculation puts the calculated density at 5.38 g cm⁻³. Its uncorrected formation energy is -0.55 eV per atom.

(10)
Below is a geometry-optimized NaSrMg2Sn2 structure, with properties calculated at the PBE level.

The space group is P-3m1 (No. 164) and the conventional cell measures 4.9989, 4.9989 and 7.7185 Å, with angles of 90.00, 90.00 and 120.00 degrees. The inequivalent atoms are Na at (0.0000, 0.0000, 0.0000), Sr at (0.0000, 0.0000, 0.5000), Mg at (0.3333, 0.6667, 0.1759) and Sn at (0.3333, 0.6667, 0.7549).

The calculation puts the calculated density at 3.94 g cm⁻³. Its formation energy is -367 meV/atom.

(11)
Below is a geometry-optimized Lu2BeCo structure, with properties calculated at the PBE level.

The space group is P4/mmm (No. 123) and the conventional cell measures 3.295, 3.295 and 6.597 Å, with angles of 90.00, 90.00 and 90.00 degrees. The inequivalent atoms are Lu at (0.000, 0.000, 0.243), Be at (0.500, 0.500, 0.500) and Co at (0.500, 0.500, 0.000).

The calculation puts the calculated density at 9.69 g cm⁻³. Its formation energy is -117 meV/atom.

(12)
Below is a geometry-optimized Hg2BiI structure, with properties calculated at the PBE level.

The space group is R-3m (No. 166, hexagonal axes) and the conventional cell measures 4.4447, 4.4447 and 23.1685 Å, with angles of 90.00, 90.00 and 120.00 degrees. The inequivalent atoms are Hg at (0.0000, 0.0000, 0.2400), Bi at (0.0000, 0.0000, 0.5000) and I at (0.0000, 0.0000, 0.0000).

The calculation puts the calculated density at 9.26 g cm⁻³. Its uncorrected formation energy is 0.01 eV per atom.

(13)
Below is a geometry-optimized LiGa2Pd4 structure, with properties calculated at the PBE level.

The space group is I4/mmm (No. 139) and the conventional cell measures 5.957, 5.957 and 6.030 Å, with angles of 90.00, 90.00 and 90.00 degrees. The inequivalent atoms are Li at (0.000, 0.000, 0.000), Ga at (0.000, 0.500, 0.000) and Pd at (0.250, 0.250, 0.250).

The calculation puts the calculated density at 8.88 g cm⁻³. Its formation energy is -533 meV/atom.

(14)
Below is a geometry-optimized Fe2SbTe3 structure, with properties calculated at the PBE level.

The space group is Pm (No. 6) and the conventional cell measures 5.373, 3.749 and 6.296 Å, with angles of 90.00, 90.84 and 90.00 degrees. The inequivalent atoms are Fe at (0.000, 0.000, 0.000), Fe at (0.494, 0.500, 0.505), Sb at (0.716, 0.500, 0.150), Te at (0.219, 0.000, 0.359), Te at (0.285, 0.500, 0.864) and Te at (0.774, 0.000, 0.645).

The calculation puts the calculated density at 8.07 g cm⁻³. Its uncorrected formation energy is -0.14 eV per atom.

(15)
Below is a geometry-optimized KCa structure, with properties calculated at the PBE level.

The space group is P4_2/mnm (No. 136) and the conventional cell measures 7.798, 7.798 and 7.859 Å, with angles of 90.00, 90.00 and 90.00 degrees. The inequivalent atoms are K at (0.181, 0.181, 0.000) and Ca at (0.175, 0.175, 0.500).

The calculation puts the calculated density at 1.10 g cm⁻³. Its formation energy is 421 meV/atom.

(16)
Below is a geometry-optimized ZnGa8Rh2 structure, with properties calculated at the PBE level.

The space group is C2/m (No. 12) and the conventional cell measures 11.125, 7.173 and 5.031 Å, with angles of 90.00, 101.52 and 90.00 degrees. The inequivalent atoms are Zn at (0.000, 0.000, 0.000), Ga at (0.083, 0.500, 0.855), Ga at (0.106, 0.289, 0.397), Ga at (0.198, 0.000, 0.801) and Rh at (0.217, 0.000, 0.312).

The calculation puts the calculated density at 7.00 g cm⁻³. Its formation energy is -243 meV/atom.

(17)
Below is a geometry-optimized Pm6Dy2YTh structure, with properties calculated at the PBE level.

The space group is C2/c (No. 15) and the conventional cell measures 9.288, 15.084 and 9.730 Å, with angles of 90.00, 97.76 and 90.00 degrees. The inequivalent atoms are Pm at (0.065, 0.176, 0.443), Pm at (0.096, 0.391, 0.619), Pm at (0.206, 0.220, 0.815), Dy at (0.247, 0.046, 0.049), Y at (0.000, 0.408, 0.250) and Th at (0.000, 0.029, 0.750).

The calculation puts the calculated density at 7.46 g cm⁻³. Its formation energy is 143 meV/atom.

(18)
Below is a geometry-optimized Y2HoScS4 structure, with properties calculated at the PBE level.

The space group is P2/m (No. 10) and the conventional cell measures 6.683, 3.830 and 6.716 Å, with angles of 90.00, 109.15 and 90.00 degrees. The inequivalent atoms are Y at (0.000, 0.000, 0.000), Y at (0.500, 0.500, 0.000), Ho at (0.000, 0.500, 0.500), Sc at (0.500, 0.000, 0.500), S at (0.254, 0.000, 0.742) and S at (0.260, 0.500, 0.262).

The calculation puts the calculated density at 5.28 g cm⁻³. Its uncorrected formation energy is -1.95 eV per atom.

(19)
Below is a geometry-optimized BaPt5Pb structure, with properties calculated at the PBE level.

The space group is Pnma (No. 62) and the conventional cell measures 9.194, 5.548 and 11.323 Å, with angles of 90.00, 90.00 and 90.00 degrees. The inequivalent atoms are Ba at (0.245, 0.250, 0.062), Pt at (0.046, 0.750, 0.102), Pt at (0.067, 0.001, 0.307), Pt at (0.077, 0.250, 0.511), Pt at (0.188, 0.250, 0.741) and Pb at (0.144, 0.750, 0.867).

The calculation puts the calculated density at 15.18 g cm⁻³. Its formation energy is -371 meV/atom.

(20)
Below is a geometry-optimized LuMg2In structure, with properties calculated at the PBE level.

The space group is Fm-3m (No. 225) and the conventional cell measures 7.236, 7.236 and 7.236 Å, with angles of 90.00, 90.00 and 90.00 degrees. The inequivalent atoms are Lu at (0.000, 0.000, 0.000), Mg at (0.250, 0.250, 0.250) and In at (0.000, 0.000, 0.500).

The calculation puts the calculated density at 5.93 g cm⁻³. Its formation energy is -69 meV/atom.

(21)
Below is a geometry-optimized InSiAu structure, with properties calculated at the PBE level.

The space group is P1 (No. 1) and the conventional cell measures 3.782, 5.973 and 6.772 Å, with angles of 111.58, 90.33 and 108.35 degrees. The inequivalent atoms are In at (0.000, 0.000, 0.000), In at (0.229, 0.454, 0.843), Si at (0.568, 0.137, 0.393), Si at (0.943, 0.885, 0.389), Au at (0.705, 0.409, 0.153) and Au at (0.807, 0.613, 0.607).

The calculation puts the calculated density at 8.44 g cm⁻³. Its uncorrected formation energy is 0.00 eV per atom.

(22)
Below is a geometry-optimized PrGd3 structure, with properties calculated at the PBE level.

The space group is Imm2 (No. 44) and the conventional cell measures 3.655, 11.658 and 6.320 Å, with angles of 90.00, 90.00 and 90.00 degrees. The inequivalent atoms are Pr at (0.000, 0.000, 0.000), Gd at (0.000, 0.249, 0.332) and Gd at (0.000, 0.500, 0.999).

The calculation puts the calculated density at 7.56 g cm⁻³. Its formation energy is 4 meV/atom.